No. 1
This record from the Alexandria database describes a relaxed PaNbSe4 crystal. The functional is PBE.

Summary:
Formation energy without anion corrections: -1.043 eV per atom
Energy above the most stable polymorph in this dataset: 0.000 eV per atom
E: -6.63 eV/atom

Geometry as POSCAR:
```
PaNbSe4
1.0
3.900 0.000 0.000
0.000 6.719 0.026
0.000 0.007 6.563
Pa Se Nb
1 4 1
Direct
0.000 0.000 0.000
0.000 0.235 0.350
0.000 0.765 0.650
0.500 0.245 0.821
0.500 0.755 0.179
0.500 0.000 0.500
```

---

No. 2
This record from the Alexandria database describes a relaxed VCoPd crystal. The functional is PBE.

Summary:
ΔH_f (0 K): -155 meV per atom
Energy above the most stable polymorph in this dataset: 0.022 eV per atom
E: -7.29 eV/atom

Geometry as POSCAR:
```
VCoPd
1.0
4.213 0.000 0.000
0.000 2.642 -0.688
0.000 0.383 6.888
V Co Pd
2 2 2
Direct
0.250 0.096 0.192
0.750 0.904 0.808
0.750 0.551 0.103
0.250 0.449 0.897
0.750 0.217 0.434
0.250 0.783 0.566
```

---

No. 3
This record from the Alexandria database describes a relaxed Ti8N3O2 crystal. The functional is PBE.

Summary:
Formation energy without anion corrections: -1.641 eV per atom
E: -9.18 eV/atom

Geometry as POSCAR:
```
Ti8N3O2
1.0
-2.239 3.340 -3.352
-5.747 -1.577 -0.612
-4.290 2.968 2.945
N Ti O
3 8 2
Direct
0.000 0.753 0.247
0.500 0.000 0.000
0.000 0.247 0.753
0.750 0.632 0.129
0.750 0.129 0.632
0.250 0.368 0.871
0.764 0.624 0.624
0.746 0.122 0.122
0.250 0.871 0.368
0.236 0.376 0.376
0.254 0.878 0.878
0.997 0.249 0.249
0.003 0.751 0.751
```

---

No. 4
This record from the Alexandria database describes a relaxed Sm2MgI8 crystal. The functional is PBE.

Summary:
Formation energy without anion corrections: -1.150 eV per atom
E: -3.28 eV/atom

Geometry as POSCAR:
```
Sm2MgI8
1.0
-5.642 -4.297 -2.454
2.453 -7.263 5.288
-5.215 1.502 7.568
I Sm Mg
8 2 1
Direct
0.786 0.738 0.103
0.214 0.897 0.262
0.786 0.103 0.738
0.758 0.616 0.616
0.242 0.384 0.384
0.214 0.262 0.897
0.232 0.818 0.818
0.768 0.182 0.182
0.631 0.810 0.810
0.369 0.190 0.190
0.000 0.000 0.000
```